VASP calculation (PBE+U) on an optimized crystal structure of CrI2NO.

Geometry as extended XYZ:
```
5
Lattice="-0.526 -4.856 -0.982 4.875 -0.683 0.766 -0.695 -0.694 3.805" Properties=species:S:1:pos:R:3 pbc="T T T"
I 2.438 -0.341 0.383
I -0.263 -2.428 -0.491
Cr 1.827 -3.116 1.795
O 0.000 0.000 0.000
N -0.348 -0.347 1.903
```

Summary:
The offset from the most stable computed form is 169 meV/atom. Its space-group type is P4/mmm (123). The total magnetic moment is 4.63 μB/cell.